# 1
Density functional theory data (PBE-GGA) for a geometry-optimized La5PrY3 structure.

Cell and atoms, written as POSCAR:
```
La5PrY3
1.0
-4.418 4.418 8.272
4.418 -4.418 8.272
4.418 4.418 -8.272
La Pr Y
10 2 6
direct
0.000 0.000 0.000 La
0.056 0.556 0.894 La
0.162 0.056 0.500 La
0.338 0.838 0.894 La
0.444 0.338 0.500 La
0.500 0.500 0.000 La
0.556 0.662 0.500 La
0.662 0.162 0.106 La
0.838 0.944 0.500 La
0.944 0.444 0.106 La
0.250 0.750 0.500 Pr
0.750 0.250 0.500 Pr
0.122 0.378 0.500 Y
0.250 0.250 0.000 Y
0.378 0.878 0.257 Y
0.622 0.122 0.743 Y
0.750 0.750 0.000 Y
0.878 0.622 0.500 Y
```

Calculated values
Total magnetic moment (μB per atom): 0.00
Offset from the most stable computed form (meV/atom): 34
DFT formation energy (eV per atom): 0.272


# 2
Density functional theory data (PBE-GGA) for a geometry-optimized Nd2ErPuP4 structure.

Cell and atoms, written as POSCAR:
```
Nd2ErPuP4
1.0
7.036 0.000 0.000
0.000 4.078 0.000
-2.350 0.000 6.648
Nd Er Pu P
2 1 1 4
direct
0.000 0.000 0.000 Nd
0.500 0.500 0.000 Nd
0.000 0.500 0.500 Er
0.500 0.000 0.500 Pu
0.247 0.000 0.737 P
0.256 0.500 0.265 P
0.744 0.500 0.735 P
0.753 0.000 0.263 P
```

Calculated values
Total magnetic moment (μB per atom): 0.61
DFT formation energy (eV per atom): -1.443


# 3
Density functional theory data (PBE-GGA) for a geometry-optimized Fe14CoRh structure.

Cell and atoms, written as POSCAR:
```
Fe14CoRh
1.0
2.859 -4.058 0.000
2.859 4.058 0.000
0.000 0.000 8.133
Fe Co Rh
14 1 1
direct
0.000 0.000 0.000 Fe
0.000 0.500 0.000 Fe
0.000 0.500 0.500 Fe
0.245 0.245 0.246 Fe
0.245 0.245 0.754 Fe
0.250 0.750 0.248 Fe
0.250 0.750 0.752 Fe
0.500 0.000 0.000 Fe
0.500 0.000 0.500 Fe
0.500 0.500 0.000 Fe
0.750 0.250 0.248 Fe
0.750 0.250 0.752 Fe
0.755 0.755 0.246 Fe
0.755 0.755 0.754 Fe
0.000 0.000 0.500 Co
0.500 0.500 0.500 Rh
```

Calculated values
Total magnetic moment (μB per atom): 2.28
DFT formation energy (eV per atom): -0.008


# 4
Density functional theory data (PBE-GGA) for a geometry-optimized BaMg2Al2Ga structure.

Cell and atoms, written as POSCAR:
```
BaMg2Al2Ga
1.0
5.102 0.000 0.000
0.000 5.102 0.000
0.000 0.000 6.420
Ba Mg Al Ga
1 2 2 1
direct
0.000 0.000 0.000 Ba
0.500 0.500 0.248 Mg
0.500 0.500 0.752 Mg
0.000 0.500 0.500 Al
0.500 0.000 0.500 Al
0.000 0.000 0.500 Ga
```

Calculated values
Total magnetic moment (μB per atom): 0.00
DFT formation energy (eV per atom): 0.029